i.
PBE-GGA UCdPt6, optimized geometry; space-group type = P4/mmm, No. 123; mass density = 18.405 g/cm³; M_tot = 0.34 μB per formula unit
1.0
-1.597 -1.320 -3.567
-0.129 -3.848 1.481
-7.432 1.339 2.832
U Cd Pt
1 1 6
Direct
0.000 0.000 0.500 U
0.000 0.000 0.000 Cd
0.500 0.500 0.000 Pt
0.500 0.500 0.500 Pt
0.500 0.000 0.256 Pt
0.500 0.000 0.744 Pt
0.000 0.500 0.256 Pt
0.000 0.500 0.744 Pt


ii.
PBE-GGA UCdPt6, optimized geometry; space-group type = Amm2, No. 38; mass density = 18.386 g/cm³; M_tot = 0.38 μB per formula unit
1.0
-4.612 -1.120 0.100
1.362 -5.617 -0.082
-0.562 2.763 5.046
U Cd Pt
1 1 6
Direct
0.000 0.083 0.917 U
0.500 0.416 0.584 Cd
0.000 0.077 0.414 Pt
0.000 0.586 0.923 Pt
0.000 0.586 0.414 Pt
0.500 0.420 0.085 Pt
0.500 0.915 0.580 Pt
0.500 0.917 0.083 Pt


Ranked by calculated energy, most stable first: i, ii.


i.
PBE-GGA VCd2Pt, optimized geometry; space-group type = Fm-3m, No. 225; mass density = 10.909 g/cm³; M_tot = 3.03 μB per formula unit
1.0
-1.815 1.083 4.156
-2.476 3.917 0.513
-4.610 -0.226 0.661
Cd Pt V
2 1 1
Direct
0.250 0.250 0.250 Cd
0.750 0.750 0.750 Cd
0.500 0.500 0.500 Pt
0.000 0.000 0.000 V


ii.
PBE-GGA VCd2Pt, optimized geometry; space-group type = I-42d, No. 122; mass density = 9.589 g/cm³; M_tot = 2.92 μB per formula unit
1.0
-2.043 7.120 -2.377
-0.056 -2.478 -7.374
-3.650 1.656 -4.632
Cd Pt V
4 2 2
Direct
0.646 0.125 0.250 Cd
0.104 0.625 0.250 Cd
0.375 0.354 0.750 Cd
0.875 0.896 0.750 Cd
0.000 0.000 0.000 Pt
0.750 0.250 0.500 Pt
0.500 0.500 0.000 V
0.250 0.750 0.500 V


Ranked by calculated energy, most stable first: i, ii.


i.
PBE-GGA CdPtW, optimized geometry; space-group type = F-43m, No. 216; mass density = 13.547 g/cm³; M_tot = 0.00 μB per formula unit
1.0
-3.902 1.527 -1.344
-0.838 0.414 -4.299
-2.867 -2.706 -1.953
W Pt Cd
1 1 1
Direct
0.750 0.750 0.750 W
0.500 0.500 0.500 Pt
0.000 0.000 0.000 Cd


ii.
PBE-GGA CdPtW, optimized geometry; space-group type = F-43m, No. 216; mass density = 13.947 g/cm³; M_tot = 0.00 μB per formula unit
1.0
4.357 0.000 0.000
2.179 3.774 0.000
2.179 1.258 3.558
W Pt Cd
1 1 1
Direct
0.000 0.000 0.000 W
0.750 0.750 0.750 Pt
0.500 0.500 0.500 Cd


Ranked by calculated energy, most stable first: ii, i.


i.
PBE-GGA CdPtW, optimized geometry; space-group type = P3m1, No. 156; mass density = 15.849 g/cm³; M_tot = 0.00 μB per formula unit
1.0
-0.141 1.899 -2.145
-0.907 -2.690 -0.405
-6.635 1.917 2.133
W Pt Cd
1 1 1
Direct
0.667 0.333 0.648 W
0.333 0.667 0.349 Pt
0.000 0.000 0.003 Cd


ii.
PBE-GGA CdPtW, optimized geometry; space-group type = P-6m2, No. 187; mass density = 16.125 g/cm³; M_tot = 0.00 μB per formula unit
1.0
4.621 0.000 0.000
-2.310 4.002 0.000
0.000 0.000 2.736
W Pt Cd
1 1 1
Direct
0.667 0.333 0.667 W
0.333 0.667 0.167 Pt
0.000 0.000 0.166 Cd


Ranked by calculated energy, most stable first: i, ii.


i.
PBE-GGA YCdPt3, optimized geometry; space-group type = Pm-3m, No. 221; mass density = 9.799 g/cm³; M_tot = 0.00 μB per formula unit
1.0
-3.569 3.433 1.255
-1.009 -2.611 4.273
3.513 2.738 2.502
Y Pt Cd
1 3 1
Direct
0.000 0.000 0.000 Y
0.000 0.500 0.000 Pt
0.000 0.000 0.500 Pt
0.500 0.000 0.000 Pt
0.500 0.500 0.500 Cd


ii.
PBE-GGA YCdPt3, optimized geometry; space-group type = Pm-3m, No. 221; mass density = 10.934 g/cm³; M_tot = 0.00 μB per formula unit
1.0
4.925 0.000 0.000
0.000 4.925 0.000
0.000 0.000 4.925
Y Pt Cd
1 3 1
Direct
0.500 0.500 0.500 Y
0.000 0.500 0.000 Pt
0.000 0.000 0.500 Pt
0.500 0.000 0.000 Pt
0.000 0.000 0.000 Cd


Ranked by calculated energy, most stable first: ii, i.


i.
PBE-GGA Y6Cd2Pt, optimized geometry; space-group type = Amm2, No. 38; mass density = 6.304 g/cm³; M_tot = 0.00 μB per formula unit
1.0
3.786 0.000 0.000
0.000 7.974 -3.672
0.000 -0.827 8.699
Y Cd Pt
6 2 1
Direct
0.500 0.604 0.000 Y
0.500 0.394 0.395 Y
0.500 0.999 0.605 Y
0.000 0.250 0.000 Y
0.000 0.753 0.754 Y
0.000 0.999 0.246 Y
0.000 0.332 0.666 Cd
0.000 0.666 0.334 Cd
0.500 0.003 0.000 Pt


ii.
PBE-GGA Y6Cd2Pt, optimized geometry; space-group type = P4_2/mnm, No. 136; mass density = 6.368 g/cm³; M_tot = 0.00 μB per formula unit
1.0
5.102 0.000 0.230
0.000 9.869 0.000
-0.444 0.000 9.855
Y Cd Pt
12 4 2
Direct
0.000 0.034 0.197 Y
0.000 0.697 0.533 Y
0.000 0.614 0.885 Y
0.500 0.114 0.615 Y
0.500 0.197 0.967 Y
0.500 0.534 0.303 Y
0.000 0.966 0.803 Y
0.000 0.303 0.467 Y
0.000 0.386 0.115 Y
0.500 0.886 0.385 Y
0.500 0.803 0.033 Y
0.500 0.466 0.697 Y
0.000 0.285 0.786 Cd
0.500 0.785 0.714 Cd
0.500 0.215 0.286 Cd
0.000 0.715 0.214 Cd
0.500 0.500 0.000 Pt
0.000 0.000 0.500 Pt


Ranked by calculated energy, most stable first: i, ii.